1.
SmHoPt | OQMD via LeMat-Bulk | PBE | relaxed; volume = 25.76 Å³ per atom; distance to the lowest polymorph of the same formula = 0.033 eV/atom; symmetry = Pnma; total magnetic moment = 0.032 μB/cell; energy of formation = -0.893 eV per atom
1.0
7.191 0.000 0.000
0.000 4.812 0.000
0.000 0.000 8.933
Pt Sm Ho
4 4 4
direct
0.733 0.250 0.591
0.233 0.250 0.909
0.267 0.750 0.409
0.767 0.750 0.091
0.645 0.250 0.915
0.355 0.750 0.085
0.145 0.250 0.585
0.855 0.750 0.415
0.006 0.250 0.164
0.494 0.750 0.664
0.506 0.250 0.336
0.994 0.750 0.836

=====

2.
BiPd19 | OQMD via LeMat-Bulk | PBE | relaxed; volume = 20.26 Å³ per atom; distance to the lowest polymorph of the same formula = 0.033 eV/atom; symmetry = P2_1/m
1.0
-2.742 4.616 1.581
-2.401 -1.009 -1.219
-12.615 -22.332 43.329
Pd Bi
38 2
direct
0.875 0.250 0.556
0.375 0.250 0.481
0.375 0.250 0.782
0.375 0.250 0.331
0.625 0.750 0.294
0.375 0.250 0.631
0.125 0.750 0.594
0.125 0.750 0.669
0.875 0.250 0.860
0.375 0.250 0.706
0.625 0.750 0.218
0.625 0.750 0.444
0.874 0.250 0.179
0.624 0.750 0.821
0.125 0.750 0.519
0.625 0.750 0.744
0.875 0.250 0.331
0.125 0.750 0.369
0.125 0.750 0.444
0.375 0.250 0.556
0.875 0.250 0.631
0.125 0.750 0.218
0.625 0.750 0.669
0.125 0.750 0.744
0.126 0.750 0.821
0.376 0.250 0.179
0.625 0.750 0.519
0.875 0.250 0.406
0.875 0.250 0.256
0.375 0.250 0.256
0.625 0.750 0.594
0.875 0.250 0.481
0.125 0.750 0.294
0.375 0.250 0.406
0.625 0.750 0.369
0.875 0.250 0.782
0.875 0.250 0.706
0.125 0.750 0.140
0.375 0.250 0.864
0.625 0.750 0.136

=====

3.
Dy2Er4LuTe2Ir2 | OQMD via LeMat-Bulk | PBE | relaxed; volume = 26.16 Å³ per atom; distance to the lowest polymorph of the same formula = 0.002 eV/atom; symmetry = Imm2; total magnetic moment = 0.004 μB/cell
1.0
-6.588 -4.181 5.105
6.081 5.700 4.180
-7.664 -2.183 -4.842
Er Te Ir Dy Lu
4 2 2 2 1
direct
0.059 0.413 0.646
0.767 0.413 0.354
0.370 0.055 0.316
0.739 0.055 0.684
0.018 0.018 0.000
0.420 0.920 0.500
0.991 0.754 0.237
0.518 0.754 0.763
0.133 0.265 0.869
0.396 0.265 0.131
0.683 0.683 0.000